This record from the Alexandria database describes a relaxed MnTe2Os crystal. The functional is GGA-PBE.

Geometry as extended XYZ:
```
4
Lattice="4.045 1.967 1.521 -0.128 3.883 2.730 1.200 -0.281 4.585" Properties=species:S:1:pos:R:3 pbc="T T T"
Te 3.838 4.176 6.627
Te 1.279 1.392 2.209
Mn 0.000 0.000 0.000
Os 2.559 2.784 4.418
```

## Properties
total magnetization: 0.92 μB/atom

---

This record from the Alexandria database describes a relaxed ZnPdNF2 crystal. The functional is GGA-PBE.

Geometry as extended XYZ:
```
5
Lattice="4.325 0.000 0.000 0.000 4.325 0.000 0.000 0.000 3.799" Properties=species:S:1:pos:R:3 pbc="T T T"
Zn 2.162 2.162 1.900
Pd 0.000 0.000 0.000
F 0.000 2.162 0.000
F 2.162 0.000 0.000
N 0.000 0.000 1.900
```

## Properties
total magnetization: 0.00 μB/atom

---

This record from the Alexandria database describes a relaxed YErGaCo crystal. The functional is GGA-PBE.

Geometry as extended XYZ:
```
4
Lattice="4.904 0.000 0.000 2.452 4.247 0.000 2.452 1.416 4.004" Properties=species:S:1:pos:R:3 pbc="T T T"
Ga 0.000 0.000 0.000
Er 2.452 1.416 1.001
Co 4.904 2.831 2.002
Y 7.356 4.247 3.003
```

## Properties
total magnetization: 0.25 μB/atom
E_form: -0.338 eV/atom

---

This record from the Alexandria database describes a relaxed LaTl3Mo crystal. The functional is GGA-PBE.

Geometry as extended XYZ:
```
5
Lattice="-1.391 -3.770 3.507 -2.029 -2.938 -3.962 4.732 -2.367 -0.668" Properties=species:S:1:pos:R:3 pbc="T T T"
Tl -0.695 -1.885 1.754
Tl 2.366 -1.184 -0.334
Tl -1.015 -1.469 -1.981
La 0.656 -4.537 -0.561
Mo 0.000 0.000 0.000
```

## Properties
total magnetization: 0.08 μB/atom
E_form: 0.328 eV/atom

---

The records above yield energy relative to the lowest polymorph listed for this composition values of 489, 27, 59, 0 meV/atom, respectively.